# 1
A plane-wave DFT calculation with GGA-PBE was carried out for an optimized crystal structure of GdFeCu4.

## Properties
Total magnetization, μB per cell: 4.63
Crystal system: cubic
Raw total energy, eV per atom: -6.45
Formation enthalpy at 0 K, meV per atom: 34

a b c (Å): 5.008 5.008 5.008
angles (deg): 60.00 60.00 60.00
Fractional coordinates of all 6 atoms:
Gd (0.000, 0.000, 0.000)
Fe (0.250, 0.250, 0.250)
Cu (0.129, 0.624, 0.624)
Cu (0.624, 0.129, 0.624)
Cu (0.624, 0.624, 0.129)
Cu (0.624, 0.624, 0.624)

***

# 2
A plane-wave DFT calculation with GGA-PBE was carried out for an optimized crystal structure of TbFe3Tc3.

## Properties
Total magnetization, μB per cell: 0.00
Crystal system: cubic
Raw total energy, eV per atom: -8.08
Formation enthalpy at 0 K, meV per atom: 651

a b c (Å): 6.373 6.373 6.373
angles (deg): 90.00 90.00 90.00
Fractional coordinates of all 14 atoms:
Tb (0.000, 0.000, 0.000)
Tb (0.500, 0.500, 0.500)
Fe (0.000, 0.250, 0.500)
Fe (0.000, 0.750, 0.500)
Fe (0.250, 0.500, 0.000)
Fe (0.500, 0.000, 0.250)
Fe (0.500, 0.000, 0.750)
Fe (0.750, 0.500, 0.000)
Tc (0.000, 0.500, 0.250)
Tc (0.000, 0.500, 0.750)
Tc (0.250, 0.000, 0.500)
Tc (0.500, 0.250, 0.000)
Tc (0.500, 0.750, 0.000)
Tc (0.750, 0.000, 0.500)

***

# 3
A plane-wave DFT calculation with GGA-PBE was carried out for an optimized crystal structure of ThMgZn2.

## Properties
Total magnetization, μB per cell: 0.00
Crystal system: cubic
Raw total energy, eV per atom: -3.10
Offset from the most stable computed form, meV/atom: 0
Formation enthalpy at 0 K, meV per atom: -212

a b c (Å): 4.964 4.964 4.964
angles (deg): 60.00 60.00 60.00
Fractional coordinates of all 4 atoms:
Th (0.000, 0.000, 0.000)
Mg (0.500, 0.500, 0.500)
Zn (0.250, 0.250, 0.250)
Zn (0.750, 0.750, 0.750)